<i>
# NaSb2I, relaxed, DFT PBE
data_NaSb2I
_space_group_name_H-M_alt 'F m -3 m'
_space_group_IT_number 225
_space_group_name_Hall '-F 4 2 3'
_cell_length_a 7.8400
_cell_length_b 7.8400
_cell_length_c 7.8400
_cell_angle_alpha 90.00
_cell_angle_beta 90.00
_cell_angle_gamma 90.00
loop_
_atom_site_label
_atom_site_type_symbol
_atom_site_fract_x
_atom_site_fract_y
_atom_site_fract_z
Na1 Na 0.0000 0.0000 0.0000
Sb1 Sb 0.2500 0.2500 0.2500
I1 I 0.0000 0.0000 0.5000
# V   482 Å³ per cell

---

<ii>
# NaSb2I, relaxed, DFT PBE
data_NaSb2I
_space_group_name_H-M_alt 'I -4 2 d'
_space_group_IT_number 122
_space_group_name_Hall 'I -4 2bw'
_cell_length_a 4.3899
_cell_length_b 4.3899
_cell_length_c 29.9486
_cell_angle_alpha 90.00
_cell_angle_beta 90.00
_cell_angle_gamma 90.00
loop_
_atom_site_label
_atom_site_type_symbol
_atom_site_fract_x
_atom_site_fract_y
_atom_site_fract_z
Na1 Na 0.0000 0.0000 0.0000
Sb1 Sb 0.2052 0.2500 0.1250
I1 I 0.0000 0.0000 0.5000
# V   577 Å³ per cell

---

Name the most stable of them. <ii>.

---

<i>
# NaSb3I, relaxed, DFT PBE
data_NaSb3I
_space_group_name_H-M_alt 'P m -3 m'
_space_group_IT_number 221
_space_group_name_Hall '-P 4 2 3'
_cell_length_a 5.5174
_cell_length_b 5.5174
_cell_length_c 5.5174
_cell_angle_alpha 90.00
_cell_angle_beta 90.00
_cell_angle_gamma 90.00
loop_
_atom_site_label
_atom_site_type_symbol
_atom_site_fract_x
_atom_site_fract_y
_atom_site_fract_z
Na1 Na 0.0000 0.0000 0.0000
Sb1 Sb 0.0000 0.0000 0.5000
I1 I 0.5000 0.5000 0.5000
# V   168 Å³ per cell

---

<ii>
# NaSb3I, relaxed, DFT PBE
data_NaSb3I
_space_group_name_H-M_alt 'P m -3 m'
_space_group_IT_number 221
_space_group_name_Hall '-P 4 2 3'
_cell_length_a 5.8776
_cell_length_b 5.8776
_cell_length_c 5.8776
_cell_angle_alpha 90.00
_cell_angle_beta 90.00
_cell_angle_gamma 90.00
loop_
_atom_site_label
_atom_site_type_symbol
_atom_site_fract_x
_atom_site_fract_y
_atom_site_fract_z
Na1 Na 0.0000 0.0000 0.0000
Sb1 Sb 0.0000 0.5000 0.5000
I1 I 0.5000 0.5000 0.5000
# V   203 Å³ per cell

---

Name the most stable of them. <ii>.

---

<i>
# NaSb2SeI, relaxed, DFT PBE
data_NaSb2SeI
_space_group_name_H-M_alt 'P 4/m m m'
_space_group_IT_number 123
_space_group_name_Hall '-P 4 2'
_cell_length_a 5.6133
_cell_length_b 5.6133
_cell_length_c 5.2959
_cell_angle_alpha 90.00
_cell_angle_beta 90.00
_cell_angle_gamma 90.00
loop_
_atom_site_label
_atom_site_type_symbol
_atom_site_fract_x
_atom_site_fract_y
_atom_site_fract_z
Na1 Na 0.0000 0.0000 0.0000
Sb1 Sb 0.0000 0.5000 0.0000
Se1 Se 0.5000 0.5000 0.5000
I1 I 0.0000 0.0000 0.5000
# V   167 Å³ per cell

---

<ii>
# NaSb2SeI, relaxed, DFT PBE
data_NaSb2SeI
_space_group_name_H-M_alt 'P 4/m m m'
_space_group_IT_number 123
_space_group_name_Hall '-P 4 2'
_cell_length_a 5.5065
_cell_length_b 5.5065
_cell_length_c 6.1677
_cell_angle_alpha 90.00
_cell_angle_beta 90.00
_cell_angle_gamma 90.00
loop_
_atom_site_label
_atom_site_type_symbol
_atom_site_fract_x
_atom_site_fract_y
_atom_site_fract_z
Na1 Na 0.0000 0.0000 0.0000
Sb1 Sb 0.0000 0.5000 0.5000
Se1 Se 0.5000 0.5000 0.5000
I1 I 0.5000 0.5000 0.0000
# V   187 Å³ per cell

---

Name the most stable of them. <ii>.

---

<i>
# NaSiSbI2, relaxed, DFT PBE
data_NaSiSbI2
_space_group_name_H-M_alt 'P 4/m m m'
_space_group_IT_number 123
_space_group_name_Hall '-P 4 2'
_cell_length_a 5.7903
_cell_length_b 5.7903
_cell_length_c 5.4373
_cell_angle_alpha 90.00
_cell_angle_beta 90.00
_cell_angle_gamma 90.00
loop_
_atom_site_label
_atom_site_type_symbol
_atom_site_fract_x
_atom_site_fract_y
_atom_site_fract_z
Na1 Na 0.0000 0.0000 0.0000
Si1 Si 0.5000 0.5000 0.5000
Sb1 Sb 0.5000 0.5000 0.0000
I1 I 0.0000 0.5000 0.5000
# V   182 Å³ per cell

---

<ii>
# NaSiSbI2, relaxed, DFT PBE
data_NaSiSbI2
_space_group_name_H-M_alt 'P 4/m m m'
_space_group_IT_number 123
_space_group_name_Hall '-P 4 2'
_cell_length_a 5.6127
_cell_length_b 5.6127
_cell_length_c 5.8898
_cell_angle_alpha 90.00
_cell_angle_beta 90.00
_cell_angle_gamma 90.00
loop_
_atom_site_label
_atom_site_type_symbol
_atom_site_fract_x
_atom_site_fract_y
_atom_site_fract_z
Na1 Na 0.0000 0.0000 0.0000
Si1 Si 0.5000 0.5000 0.5000
Sb1 Sb 0.0000 0.0000 0.5000
I1 I 0.0000 0.5000 0.0000
# V   186 Å³ per cell

---

Name the most stable of them. <i>.

---

<i>
# NaSnSbI2, relaxed, DFT PBE
data_NaSnSbI2
_space_group_name_H-M_alt 'P 4/m m m'
_space_group_IT_number 123
_space_group_name_Hall '-P 4 2'
_cell_length_a 6.2182
_cell_length_b 6.2182
_cell_length_c 5.9322
_cell_angle_alpha 90.00
_cell_angle_beta 90.00
_cell_angle_gamma 90.00
loop_
_atom_site_label
_atom_site_type_symbol
_atom_site_fract_x
_atom_site_fract_y
_atom_site_fract_z
Na1 Na 0.0000 0.0000 0.0000
Sn1 Sn 0.5000 0.5000 0.5000
Sb1 Sb 0.5000 0.5000 0.0000
I1 I 0.0000 0.5000 0.5000
# V   229 Å³ per cell

---

<ii>
# NaSnSbI2, relaxed, DFT PBE
data_NaSnSbI2
_space_group_name_H-M_alt 'P 4/m m m'
_space_group_IT_number 123
_space_group_name_Hall '-P 4 2'
_cell_length_a 5.6312
_cell_length_b 5.6312
_cell_length_c 5.9266
_cell_angle_alpha 90.00
_cell_angle_beta 90.00
_cell_angle_gamma 90.00
loop_
_atom_site_label
_atom_site_type_symbol
_atom_site_fract_x
_atom_site_fract_y
_atom_site_fract_z
Na1 Na 0.0000 0.0000 0.0000
Sn1 Sn 0.5000 0.5000 0.5000
Sb1 Sb 0.0000 0.0000 0.5000
I1 I 0.0000 0.5000 0.0000
# V   188 Å³ per cell

---

Name the most stable of them. <i>.

---

<i>
# NaSrSb2I, relaxed, DFT PBE
data_NaSrSb2I
_space_group_name_H-M_alt 'P 4/m m m'
_space_group_IT_number 123
_space_group_name_Hall '-P 4 2'
_cell_length_a 6.3007
_cell_length_b 6.3007
_cell_length_c 6.3941
_cell_angle_alpha 90.00
_cell_angle_beta 90.00
_cell_angle_gamma 90.00
loop_
_atom_site_label
_atom_site_type_symbol
_atom_site_fract_x
_atom_site_fract_y
_atom_site_fract_z
Na1 Na 0.0000 0.0000 0.0000
Sr1 Sr 0.5000 0.5000 0.5000
Sb1 Sb 0.0000 0.5000 0.5000
I1 I 0.5000 0.5000 0.0000
# V   254 Å³ per cell

---

<ii>
# NaSrSb2I, relaxed, DFT PBE
data_NaSrSb2I
_space_group_name_H-M_alt 'P 4/m m m'
_space_group_IT_number 123
_space_group_name_Hall '-P 4 2'
_cell_length_a 5.4595
_cell_length_b 5.4595
_cell_length_c 6.0474
_cell_angle_alpha 90.00
_cell_angle_beta 90.00
_cell_angle_gamma 90.00
loop_
_atom_site_label
_atom_site_type_symbol
_atom_site_fract_x
_atom_site_fract_y
_atom_site_fract_z
Na1 Na 0.0000 0.0000 0.0000
Sr1 Sr 0.5000 0.5000 0.5000
Sb1 Sb 0.0000 0.5000 0.0000
I1 I 0.0000 0.0000 0.5000
# V   180 Å³ per cell

---

Name the most stable of them. <ii>.

---

<i>
# NaTlSb2I, relaxed, DFT PBE
data_NaTlSb2I
_space_group_name_H-M_alt 'P 4/m m m'
_space_group_IT_number 123
_space_group_name_Hall '-P 4 2'
_cell_length_a 5.7172
_cell_length_b 5.7172
_cell_length_c 6.7704
_cell_angle_alpha 90.00
_cell_angle_beta 90.00
_cell_angle_gamma 90.00
loop_
_atom_site_label
_atom_site_type_symbol
_atom_site_fract_x
_atom_site_fract_y
_atom_site_fract_z
Na1 Na 0.0000 0.0000 0.0000
Tl1 Tl 0.5000 0.5000 0.5000
Sb1 Sb 0.0000 0.5000 0.5000
I1 I 0.5000 0.5000 0.0000
# V   221 Å³ per cell

---

<ii>
# NaTlSb2I, relaxed, DFT PBE
data_NaTlSb2I
_space_group_name_H-M_alt 'P 4/m m m'
_space_group_IT_number 123
_space_group_name_Hall '-P 4 2'
_cell_length_a 5.4942
_cell_length_b 5.4942
_cell_length_c 6.2720
_cell_angle_alpha 90.00
_cell_angle_beta 90.00
_cell_angle_gamma 90.00
loop_
_atom_site_label
_atom_site_type_symbol
_atom_site_fract_x
_atom_site_fract_y
_atom_site_fract_z
Na1 Na 0.0000 0.0000 0.0000
Tl1 Tl 0.5000 0.5000 0.5000
Sb1 Sb 0.0000 0.5000 0.0000
I1 I 0.0000 0.0000 0.5000
# V   189 Å³ per cell

---

Name the most stable of them. <i>.

---

<i>
# NaTlSbI2, relaxed, DFT PBE
data_NaTlSbI2
_space_group_name_H-M_alt 'P 4/m m m'
_space_group_IT_number 123
_space_group_name_Hall '-P 4 2'
_cell_length_a 6.0696
_cell_length_b 6.0696
_cell_length_c 6.0222
_cell_angle_alpha 90.00
_cell_angle_beta 90.00
_cell_angle_gamma 90.00
loop_
_atom_site_label
_atom_site_type_symbol
_atom_site_fract_x
_atom_site_fract_y
_atom_site_fract_z
Na1 Na 0.0000 0.0000 0.0000
Tl1 Tl 0.5000 0.5000 0.5000
Sb1 Sb 0.0000 0.0000 0.5000
I1 I 0.0000 0.5000 0.0000
# V   222 Å³ per cell

---

<ii>
# NaTlSbI2, relaxed, DFT PBE
data_NaTlSbI2
_space_group_name_H-M_alt 'P 4/m m m'
_space_group_IT_number 123
_space_group_name_Hall '-P 4 2'
_cell_length_a 6.5071
_cell_length_b 6.5071
_cell_length_c 5.8079
_cell_angle_alpha 90.00
_cell_angle_beta 90.00
_cell_angle_gamma 90.00
loop_
_atom_site_label
_atom_site_type_symbol
_atom_site_fract_x
_atom_site_fract_y
_atom_site_fract_z
Na1 Na 0.0000 0.0000 0.0000
Tl1 Tl 0.5000 0.5000 0.5000
Sb1 Sb 0.5000 0.5000 0.0000
I1 I 0.0000 0.5000 0.5000
# V   246 Å³ per cell

---

Name the most stable of them. <ii>.